Below is an optimized crystal structure of La6Y8Ho, with properties calculated at the GGA-PBE level.

Computed properties:
Crystal system ... trigonal
Energy of formation from the pure elements ... 2.53 kcal/mol of atoms
Space group ... No. 148
N(E_F) ... 25.0 states/eV/f.u.

Cell: 8.8784 8.8784 8.8784 Å, 62.09 62.09 62.09°
Positions (direct):
La 0.0359 0.5915 0.7344
La 0.2656 0.9641 0.4085
La 0.4085 0.2656 0.9641
La 0.5915 0.7344 0.0359
La 0.7344 0.0359 0.5915
La 0.9641 0.4085 0.2656
Y 0.0774 0.0774 0.0774
Y 0.2040 0.6137 0.2656
Y 0.2656 0.2040 0.6137
Y 0.3863 0.7344 0.7960
Y 0.6137 0.2656 0.2040
Y 0.7344 0.7960 0.3863
Y 0.7960 0.3863 0.7344
Y 0.9226 0.9226 0.9226
Ho 0.5000 0.5000 0.5000